1.
VASP calculation (PBE-GGA) on an optimized crystal structure of ZrHF3.

The relative energy among the computed polymorphs is 0.000 eV per atom.

Unit cell a=4.176 b=4.176 c=4.176 alpha=90.00 beta=90.00 gamma=90.00
Fractional coordinates of all 5 atoms:
1 Zr 0.000 0.000 0.000
2 H 0.500 0.500 0.500
3 F 0.000 0.000 0.500
4 F 0.000 0.500 0.000
5 F 0.500 0.000 0.000

2.
VASP calculation (PBE-GGA) on an optimized crystal structure of HfF5.

The uncorrected formation energy comes out at -2.95 eV/atom.

Unit cell a=5.167 b=5.167 c=5.167 alpha=99.22 beta=99.22 gamma=132.82
Fractional coordinates of all 6 atoms:
1 Hf 0.000 0.000 0.000
2 F 0.111 0.724 0.835
3 F 0.276 0.111 0.386
4 F 0.500 0.500 0.000
5 F 0.724 0.889 0.614
6 F 0.889 0.276 0.165

3.
VASP calculation (PBE-GGA) on an optimized crystal structure of HfF4.

The uncorrected formation energy comes out at -3.75 eV/atom.

Unit cell a=5.453 b=5.453 c=5.407 alpha=106.21 beta=106.21 gamma=116.25
Fractional coordinates of all 10 atoms:
1 Hf 0.125 0.875 0.750
2 Hf 0.875 0.125 0.250
3 F 0.187 0.627 0.437
4 F 0.188 0.249 0.060
5 F 0.249 0.188 0.560
6 F 0.373 0.813 0.063
7 F 0.627 0.187 0.937
8 F 0.751 0.812 0.440
9 F 0.812 0.751 0.940
10 F 0.813 0.373 0.563